Compound: Nd8Cu2Ru
Source: Alexandria
Functional: GGA-PBE
Structure: relaxed

Structure (POSCAR):
```
Nd8Cu2Ru
1.0
-1.5140 -3.5198 -3.5471
-1.6682 -4.4139 5.0919
-6.6474 6.4649 0.2650
Ru Nd Cu
1 8 2
direct
0.5000 0.0000 0.0000 Ru
0.5890 0.4429 0.1779 Nd
0.4110 0.5571 0.8221 Nd
0.3344 0.0220 0.6689 Nd
0.1989 0.3295 0.3979 Nd
0.6656 0.9780 0.3311 Nd
0.9687 0.2071 0.9373 Nd
0.0313 0.7929 0.0627 Nd
0.8011 0.6705 0.6021 Nd
0.8144 0.2710 0.6287 Cu
0.1856 0.7290 0.3713 Cu
```

symmetry	C2/m (12)
crystal system	monoclinic
ρ	7.37	Mg/m³
formation energy from the elements	-78	meV/atom
DOS at the Fermi energy	1.0714	states/eV/atom